{"formula": "Nd4Sm5Ho3", "functional": "GGA-PBE", "state": "optimized geometry", "lattice": [[8.1712, -2.9912, 0.0000], [8.1712, 2.9912, 0.0000], [-4.2206, 0.0000, 8.4403]], "species": ["Nd", "Nd", "Nd", "Nd", "Sm", "Sm", "Sm", "Sm", "Sm", "Ho", "Ho", "Ho"], "frac_coords": [[0.0829, 0.0829, 0.4428], [0.2169, 0.2169, 0.8792], [0.7831, 0.7831, 0.1208], [0.9171, 0.9171, 0.5572], [0.0000, 0.0000, 0.0000], [0.3280, 0.3280, 0.6123], [0.4267, 0.4267, 0.2978], [0.5733, 0.5733, 0.7022], [0.6720, 0.6720, 0.3877], [0.2094, 0.2094, 0.2298], [0.5000, 0.5000, 0.0000], [0.7906, 0.7906, 0.7702]]}

***

{"formula": "Nd4Sm6Ho", "functional": "GGA-PBE", "state": "optimized geometry", "lattice": [[-3.8652, 3.8652, 6.5553], [3.8652, -3.8652, 6.5553], [3.8652, 3.8652, -6.5553]], "species": ["Nd", "Nd", "Nd", "Nd", "Sm", "Sm", "Sm", "Sm", "Sm", "Sm", "Ho"], "frac_coords": [[0.0460, 0.5752, 0.0000], [0.4248, 0.4248, 0.4708], [0.5752, 0.0460, 0.0000], [0.9540, 0.9540, 0.5292], [0.0000, 0.5000, 0.5000], [0.2522, 0.2522, 0.6586], [0.4064, 0.7478, 0.0000], [0.5000, 0.0000, 0.5000], [0.5936, 0.5936, 0.3414], [0.7478, 0.4064, 0.0000], [0.0000, 0.0000, 0.0000]]}

***

{"formula": "Nd2Sm5Ho5", "functional": "GGA-PBE", "state": "optimized geometry", "lattice": [[7.6215, -2.5368, 0.0000], [7.6215, 2.5368, 0.0000], [-5.0895, 0.0000, 10.1785]], "species": ["Nd", "Nd", "Sm", "Sm", "Sm", "Sm", "Sm", "Ho", "Ho", "Ho", "Ho", "Ho"], "frac_coords": [[0.0829, 0.0829, 0.2507], [0.9171, 0.9171, 0.7493], [0.0000, 0.0000, 0.5000], [0.1661, 0.1661, 0.9993], [0.2486, 0.2486, 0.7480], [0.7514, 0.7514, 0.2520], [0.8339, 0.8339, 0.0007], [0.3331, 0.3331, 0.4993], [0.4167, 0.4167, 0.2506], [0.5000, 0.5000, 0.0000], [0.5833, 0.5833, 0.7494], [0.6669, 0.6669, 0.5007]]}

***

{"formula": "Nd6Sm2Ho", "functional": "GGA-PBE", "state": "optimized geometry", "lattice": [[4.7532, -8.9555, 0.0000], [4.7532, 8.9555, 0.0000], [0.0000, 0.0000, 3.6692]], "species": ["Nd", "Nd", "Nd", "Nd", "Nd", "Nd", "Sm", "Sm", "Ho"], "frac_coords": [[0.0107, 0.3396, 0.0000], [0.1843, 0.1843, 0.5000], [0.3396, 0.0107, 0.0000], [0.6604, 0.9893, 0.0000], [0.8157, 0.8157, 0.5000], [0.9893, 0.6604, 0.0000], [0.3236, 0.6764, 0.5000], [0.6764, 0.3236, 0.5000], [0.5000, 0.5000, 0.0000]]}

***

{"formula": "NdSm6Ho5", "functional": "GGA-PBE", "state": "optimized geometry", "lattice": [[-2.5401, 5.0631, 7.6170], [2.5401, -5.0631, 7.6170], [2.5401, 5.0631, -7.6170]], "species": ["Nd", "Sm", "Sm", "Sm", "Sm", "Sm", "Sm", "Ho", "Ho", "Ho", "Ho", "Ho"], "frac_coords": [[0.0000, 0.0000, 0.0000], [0.0843, 0.8330, 0.2513], [0.2523, 0.5000, 0.7523], [0.4183, 0.1670, 0.2513], [0.5817, 0.8330, 0.7487], [0.7477, 0.5000, 0.2477], [0.9157, 0.1670, 0.7487], [0.1674, 0.6674, 0.5000], [0.3330, 0.3330, 0.0000], [0.5000, 0.0000, 0.5000], [0.6670, 0.6670, 0.0000], [0.8326, 0.3326, 0.5000]]}

***

{"formula": "Nd5Sm5Ho2", "functional": "GGA-PBE", "state": "optimized geometry", "lattice": [[7.7131, -2.5677, 0.0000], [7.7131, 2.5677, 0.0000], [-5.1370, 0.0000, 10.2774]], "species": ["Nd", "Nd", "Nd", "Nd", "Nd", "Sm", "Sm", "Sm", "Sm", "Sm", "Ho", "Ho"], "frac_coords": [[0.0000, 0.0000, 0.0000], [0.1652, 0.1652, 0.4994], [0.2513, 0.2513, 0.2503], [0.7487, 0.7487, 0.7497], [0.8348, 0.8348, 0.5006], [0.3329, 0.3329, 0.9998], [0.4181, 0.4181, 0.7507], [0.5000, 0.5000, 0.5000], [0.5819, 0.5819, 0.2493], [0.6671, 0.6671, 0.0002], [0.0836, 0.0836, 0.7513], [0.9164, 0.9164, 0.2487]]}

***

{"formula": "Nd12Sm6Ho", "functional": "GGA-PBE", "state": "optimized geometry", "lattice": [[6.1347, 3.5419, 5.1234], [-6.1347, 3.5419, 5.1234], [0.0000, -7.0837, 5.1234]], "species": ["Nd", "Nd", "Nd", "Nd", "Nd", "Nd", "Nd", "Nd", "Nd", "Nd", "Nd", "Nd", "Sm", "Sm", "Sm", "Sm", "Sm", "Sm", "Ho"], "frac_coords": [[0.0176, 0.1930, 0.3606], [0.1930, 0.3606, 0.0176], [0.2200, 0.4638, 0.5658], [0.3606, 0.0176, 0.1930], [0.4342, 0.7800, 0.5362], [0.4638, 0.5658, 0.2200], [0.5362, 0.4342, 0.7800], [0.5658, 0.2200, 0.4638], [0.6394, 0.9824, 0.8070], [0.7800, 0.5362, 0.4342], [0.8070, 0.6394, 0.9824], [0.9824, 0.8070, 0.6394], [0.0963, 0.7006, 0.2615], [0.2615, 0.0963, 0.7006], [0.2994, 0.7385, 0.9037], [0.7006, 0.2615, 0.0963], [0.7385, 0.9037, 0.2994], [0.9037, 0.2994, 0.7385], [0.0000, 0.0000, 0.0000]]}

***

{"formula": "Nd2Sm9Ho", "functional": "GGA-PBE", "state": "optimized geometry", "lattice": [[11.4655, 0.0000, 0.0000], [-5.7328, 9.9294, 0.0000], [0.0000, 0.0000, 3.5390]], "species": ["Nd", "Nd", "Sm", "Sm", "Sm", "Sm", "Sm", "Sm", "Sm", "Sm", "Sm", "Ho"], "frac_coords": [[0.3333, 0.6667, 0.0000], [0.6667, 0.3333, 0.0000], [0.0000, 0.5000, 0.0000], [0.1721, 0.3441, 0.5000], [0.1721, 0.8279, 0.5000], [0.3441, 0.1721, 0.5000], [0.5000, 0.0000, 0.0000], [0.5000, 0.5000, 0.0000], [0.6559, 0.8279, 0.5000], [0.8279, 0.1721, 0.5000], [0.8279, 0.6559, 0.5000], [0.0000, 0.0000, 0.0000]]}

***

{"formula": "NdSm8Ho2", "functional": "GGA-PBE", "state": "optimized geometry", "lattice": [[-2.8225, 4.1218, 8.0122], [2.8225, -4.1218, 8.0122], [2.8225, 4.1218, -8.0122]], "species": ["Nd", "Sm", "Sm", "Sm", "Sm", "Sm", "Sm", "Sm", "Sm", "Ho", "Ho"], "frac_coords": [[0.0000, 0.0000, 0.0000], [0.1572, 0.8620, 0.2952], [0.1640, 0.6640, 0.5000], [0.2948, 0.5000, 0.7948], [0.4332, 0.1380, 0.2952], [0.5668, 0.8620, 0.7048], [0.7052, 0.5000, 0.2052], [0.8360, 0.3360, 0.5000], [0.8428, 0.1380, 0.7048], [0.3003, 0.3003, 0.0000], [0.6997, 0.6997, 0.0000]]}

***

{"formula": "NdSm7Ho4", "functional": "GGA-PBE", "state": "optimized geometry", "lattice": [[6.2870, 0.0000, 0.0000], [-0.0001, 7.2593, 0.0000], [-2.1144, -0.0016, 8.6920]], "species": ["Nd", "Sm", "Sm", "Sm", "Sm", "Sm", "Sm", "Sm", "Ho", "Ho", "Ho", "Ho"], "frac_coords": [[0.0000, 0.0000, 0.0000], [0.0000, 0.5000, 0.0000], [0.2224, 0.9998, 0.6653], [0.2799, 0.7483, 0.3358], [0.4999, 0.2528, 0.0007], [0.5001, 0.7472, 0.9993], [0.7201, 0.2517, 0.6642], [0.7776, 0.0002, 0.3347], [0.2195, 0.4999, 0.6651], [0.2786, 0.2528, 0.3342], [0.7214, 0.7472, 0.6658], [0.7805, 0.5001, 0.3349]]}

***

{"formula": "Nd4SmHo", "functional": "GGA-PBE", "state": "optimized geometry", "lattice": [[5.9336, -1.7447, 0.0000], [5.9336, 1.7447, 0.0000], [-5.7466, 0.0000, 10.1479]], "species": ["Nd", "Nd", "Nd", "Nd", "Sm", "Ho"], "frac_coords": [[0.1874, 0.1874, 0.3427], [0.1899, 0.1899, 0.8456], [0.8101, 0.8101, 0.1544], [0.8126, 0.8126, 0.6573], [0.0000, 0.0000, 0.5000], [0.0000, 0.0000, 0.0000]]}

***

{"formula": "Nd3Sm2Ho3", "functional": "GGA-PBE", "state": "optimized geometry", "lattice": [[5.6163, 0.0000, 0.0000], [0.0000, 16.0988, 0.0000], [-2.8016, 0.0000, 5.9951]], "species": ["Nd", "Nd", "Nd", "Nd", "Nd", "Nd", "Sm", "Sm", "Sm", "Sm", "Ho", "Ho", "Ho", "Ho", "Ho", "Ho"], "frac_coords": [[0.0754, 0.0944, 0.1505], [0.0754, 0.4056, 0.1505], [0.2662, 0.2500, 0.5320], [0.7338, 0.7500, 0.4680], [0.9246, 0.5944, 0.8495], [0.9246, 0.9056, 0.8495], [0.2209, 0.6284, 0.4421], [0.2209, 0.8716, 0.4421], [0.7791, 0.1284, 0.5579], [0.7791, 0.3716, 0.5579], [0.3806, 0.0501, 0.7610], [0.3806, 0.4499, 0.7610], [0.4585, 0.7500, 0.9186], [0.5415, 0.2500, 0.0814], [0.6194, 0.5501, 0.2390], [0.6194, 0.9499, 0.2390]]}

***

The records above yield DFT formation energy values of 21; 35; 2; 13; 2; 2; 12; 5; 11; 0; 17; 12 kJ per mole of atoms, respectively.
The records above yield DFT total energy values of -4.485; -4.357; -4.651; -4.606; -4.646; -4.700; -4.613; -4.664; -4.587; -4.673; -4.551; -4.555 eV/atom, respectively.